{
  "formula": "SmHoSe3",
  "functional": "PBE",
  "state": "relaxed",
  "m_tot_mub_per_fu": 0.00,
  "e_form_raw_mev_per_atom": -1861,
  "lattice_angstrom": [[-3.3105, 1.7562, -1.6258], [2.6404, -1.8972, -7.4258], [-4.2236, -6.9900, 1.0494]],
  "species": ["Sm", "Sm", "Se", "Se", "Se", "Se", "Se", "Se", "Ho", "Ho"],
  "frac_coords": [[0.2500, 0.3806, 0.2295], [0.7500, 0.6194, 0.7705], [0.7500, 0.6235, 0.3893], [0.2500, 0.8968, 0.6798], [0.7500, 0.3169, 0.9777], [0.2500, 0.6831, 0.0223], [0.7500, 0.1032, 0.3202], [0.2500, 0.3765, 0.6107], [0.7500, 0.1455, 0.6771], [0.2500, 0.8545, 0.3229]]
}